No. 1
Material: ZnOsSe2
Method: DFT, GGA-PBE
State: optimized geometry

## Properties
**Calculated total energy**: -4.718 eV/atom
**Crystal system**: orthorhombic
**M_tot**: 0.0 Bohr magnetons per cell
**Raw formation energy**: 0.15 eV/atom
**N(E_F)**: 2.67 states/eV/cell

Cell lengths 3.6860, 5.6188, 5.6232 Å; angles 52.43, 90.00, 90.00 degrees
With the nearest neighbours (Å) after each atom.
Atoms (fractional coordinates):
Os1 0.5000 0.7500 0.7500  4 Se 2.45, 2 Zn 2.48
Se1 0.0000 0.9096 0.9091  2 Os 2.45
Se2 0.0000 0.5904 0.5909  2 Os 2.45
Zn1 0.5000 0.2500 0.2500  2 Os 2.48

=====

No. 2
Material: Ca3Sb
Method: DFT, GGA-PBE
State: optimized geometry

## Properties
**Calculated total energy**: -2.839 eV/atom
**Crystal system**: cubic
**M_tot**: 0.0 Bohr magnetons per cell
**Offset from the most stable computed form**: 0.91 eV/f.u.
**Raw formation energy**: -0.31 eV/atom
**N(E_F)**: 3.53 states/eV/cell

Cell lengths 5.6667, 5.6667, 5.6667 Å; angles 60.00, 60.00, 60.00 degrees
With the nearest neighbours (Å) after each atom.
Atoms (fractional coordinates):
Sb1 0.7500 0.7500 0.7500  8 Ca 3.47
Ca1 0.0000 0.0000 0.0000  4 Sb 3.47, 4 Ca 3.47
Ca2 0.2500 0.2500 0.2500  8 Ca 3.47
Ca3 0.5000 0.5000 0.5000  4 Sb 3.47, 4 Ca 3.47